Entry A
A relaxed structure of Rb2AgOs, computed with PBE.

Cell lengths 5.9234, 5.9234, 5.9234 Å; angles 60.00, 60.00, 60.00 degrees
Site moments in Bohr magnetons follow the coordinates.
Positions (direct):
Ag: 0.0000 0.0000 0.0000  0.03
Os: 0.5000 0.5000 0.5000  2.53
Rb: 0.2500 0.2500 0.2500  0.01
Rb: 0.7500 0.7500 0.7500  0.01

## Properties
M_tot: 2.98 μB per cell
volume: 36.739 A^3/atom

Entry B
A relaxed structure of Rb2AgOs, computed with PBE.

Cell lengths 12.5911, 12.5911, 9.2755 Å; angles 47.26, 47.26, 90.00 degrees
Site moments in Bohr magnetons follow the coordinates.
Positions (direct):
Rb: 0.3750 0.1766 0.7500  0.00
Rb: 0.8234 0.1250 0.2500  0.00
Os: 0.7500 0.2500 0.5000  1.89
Ag: 0.5000 0.5000 0.0000  0.09
Os: 0.0000 0.0000 0.0000  1.89
Rb: 0.9266 0.6250 0.2500  0.01
Rb: 0.8750 0.0734 0.7500  0.00
Ag: 0.2500 0.7500 0.5000  0.09

## Properties
M_tot: 4.13 μB per cell
volume: 51.551 A^3/atom

Most stable: entry B (next structure +211 meV per atom)

Entry A
A relaxed structure of RbAgOs2, computed with PBE.

Cell lengths 4.7746, 4.7746, 4.7746 Å; angles 60.00, 60.00, 60.00 degrees
Site moments in Bohr magnetons follow the coordinates.
Positions (direct):
Os: 0.2500 0.2500 0.2500  1.54
Rb: 0.0000 0.0000 0.0000  0.07
Os: 0.7500 0.7500 0.7500  1.54
Ag: 0.5000 0.5000 0.5000  0.12

## Properties
M_tot: 3.44 μB per cell
volume: 19.242 A^3/atom

Entry B
A relaxed structure of RbAgOs2, computed with PBE.

Cell lengths 4.6227, 4.6227, 10.5079 Å; angles 77.29, 77.29, 90.00 degrees
Positions (direct):
Ag: 0.0000 0.0000 0.0000
Os: 0.3750 0.0689 0.7500
Rb: 0.5000 0.5000 0.0000
Os: 0.8189 0.6250 0.2500
Rb: 0.2500 0.7500 0.5000
Os: 0.9311 0.1250 0.2500
Ag: 0.7500 0.2500 0.5000
Os: 0.8750 0.1811 0.7500

## Properties
M_tot: 0.00 μB per cell
volume: 26.675 A^3/atom

Most stable: entry B (next structure +802 meV per atom)

Entry A
A relaxed structure of RbAgOs3, computed with PBE.

Cell lengths 5.0492, 5.0492, 5.0492 Å; angles 90.00, 90.00, 90.00 degrees
Site moments in Bohr magnetons follow the coordinates.
Positions (direct):
Os: 0.0000 0.5000 0.0000  2.27
Ag: 0.0000 0.0000 0.0000  0.18
Os: 0.0000 0.0000 0.5000  2.69
Rb: 0.5000 0.5000 0.5000  0.01
Os: 0.5000 0.0000 0.0000  1.62

## Properties
M_tot: 7.46 μB per cell
volume: 25.746 A^3/atom

Entry B
A relaxed structure of RbAgOs3, computed with PBE.

Cell lengths 4.7885, 4.7885, 4.7885 Å; angles 90.00, 90.00, 90.00 degrees
Site moments in Bohr magnetons follow the coordinates.
Positions (direct):
Ag: 0.5000 0.5000 0.5000  0.05
Os: 0.0000 0.5000 0.0000  1.51
Os: 0.5000 0.0000 0.0000  1.36
Rb: 0.0000 0.0000 0.0000  0.05
Os: 0.0000 0.0000 0.5000  1.41

## Properties
M_tot: 4.58 μB per cell
volume: 21.960 A^3/atom

Most stable: entry A (next structure +1093 meV per atom)